Record 1
This record from the Alexandria database describes an optimized crystal structure of Pm3NdSc7. The functional is PBE.

Cell lengths 12.1423, 10.5943, 5.5116 Å; angles 90.00, 116.92, 90.00 degrees
Space group C2/m (No. 12)
One atom of each set of equivalent atoms:
Pm: 0.0000 0.0000 0.0000
Pm: 0.0000 0.2139 0.5000
Nd: 0.0000 0.5000 0.0000
Sc: 0.0000 0.5000 0.5000
Sc: 0.2067 0.0000 0.7064
Sc: 0.2209 0.1882 0.2209

Computed properties:
D(E_F) in states/eV/cell: 30.76
Magnetization in Bohr magnetons per cell: 0.0
DFT formation energy in eV/atom: 0.288
V in Å³/atom: 28.74
ρ in g/cm3: 4.70



Record 2
This record from the Alexandria database describes an optimized crystal structure of InRh2Pb. The functional is PBE.

Cell lengths 6.7142, 6.7142, 6.7142 Å; angles 90.00, 90.00, 90.00 degrees
Space group F-43m (No. 216)
One atom of each set of equivalent atoms:
In: 0.0000 0.0000 0.0000
Rh: 0.0000 0.0000 0.5000
Rh: 0.2500 0.2500 0.2500
Pb: 0.2500 0.2500 0.7500

Computed properties:
D(E_F) in states/eV/cell: 19.16
Magnetization in Bohr magnetons per cell: 0.0
DFT formation energy in eV/atom: 0.210
V in Å³/atom: 18.92
ρ in g/cm3: 11.58



Record 3
This record from the Alexandria database describes an optimized crystal structure of La2TlGaRh. The functional is PBE.

Cell lengths 5.5038, 5.5038, 4.8517 Å; angles 90.00, 90.00, 90.00 degrees
Space group P4/mmm (No. 123)
One atom of each set of equivalent atoms:
La: 0.0000 0.5000 0.0000
Tl: 0.0000 0.0000 0.5000
Ga: 0.5000 0.5000 0.5000
Rh: 0.5000 0.5000 0.0000

Computed properties:
D(E_F) in states/eV/cell: 3.88
Magnetization in Bohr magnetons per cell: 0.0
DFT formation energy in eV/atom: -0.538
V in Å³/atom: 29.39
ρ in g/cm3: 7.40



Record 4
This record from the Alexandria database describes an optimized crystal structure of Tb2FeSe. The functional is PBE.

Cell lengths 3.6898, 3.6898, 26.2933 Å; angles 90.00, 90.00, 120.00 degrees
Space group R-3m (No. 166, hexagonal axes)
One atom of each set of equivalent atoms:
Tb: 0.0000 0.0000 0.0946
Fe: 0.0000 0.0000 0.0000
Se: 0.0000 0.0000 0.5000

Computed properties:
D(E_F) in states/eV/cell: 6.25
Magnetization in Bohr magnetons per cell: 4.4
V in Å³/atom: 25.83
ρ in g/cm3: 7.27
Uncorrected formation energy in eV per atom: -0.102